No. 1
16
Lattice="4.2062 2.4285 6.9027 -4.2062 2.4285 6.9027 0.0000 -4.8569 6.9027" Properties=species:S:1:pos:R:3 comment="NaSr4La3S8 (PBE, optimized geometry)" crystal_system=trigonal sg="R-3m, No. 166" pbc="T T T"
Na 0.0000 0.0000 0.0000
Sr -4.2062 0.0000 10.3540
Sr -2.1031 1.2142 3.4513
Sr 2.1031 1.2142 3.4513
Sr 0.0000 0.0000 10.3540
La -2.1031 -1.2142 6.9027
La -2.1031 1.2142 13.8053
La 0.0000 2.4284 6.9027
S 0.0000 -2.3957 8.5746
S -2.0747 1.1978 8.5746
S 0.0000 0.0000 5.2220
S -2.0747 -1.1978 12.1335
S 2.0747 1.1978 8.5746
S 0.0000 0.0000 15.4860
S 2.0747 -1.1978 12.1335
S 0.0000 2.3957 12.1335



No. 2
15
Lattice="4.1966 2.4229 6.8950 -4.1966 2.4229 6.8950 0.0000 -4.8458 6.8950" Properties=species:S:1:pos:R:3 comment="NaSr3La3S8 (PBE, optimized geometry)" crystal_system=trigonal sg="R-3m, No. 166" pbc="T T T"
Na 0.0000 0.0000 0.0000
Sr -4.1966 0.0000 10.3426
Sr -2.0983 1.2115 3.4475
Sr 2.0983 1.2115 3.4475
La -2.0983 -1.2115 6.8950
La -2.0983 1.2115 13.7901
La 0.0000 2.4229 6.8950
S 0.0000 -2.4025 8.4936
S -2.0806 1.2013 8.4936
S 0.0000 0.0000 5.2189
S -2.0806 -1.2013 12.1915
S 2.0806 1.2013 8.4936
S 0.0000 0.0000 15.4662
S 2.0806 -1.2013 12.1916
S 0.0000 2.4025 12.1916



No. 3
16
Lattice="4.0499 2.3382 6.6373 -4.0499 2.3382 6.6373 0.0000 -4.6764 6.6373" Properties=species:S:1:pos:R:3 comment="NaLa4Tb3S8 (PBE, optimized geometry)" crystal_system=trigonal sg="R-3m, No. 166" pbc="T T T"
Na 0.0000 0.0000 0.0000
La -4.0499 0.0000 9.9560
La -2.0249 1.1691 3.3187
La 2.0249 1.1691 3.3187
La 0.0000 0.0000 9.9560
Tb -2.0249 -1.1691 6.6373
Tb -2.0249 1.1691 13.2746
Tb 0.0000 2.3382 6.6373
S 0.0000 -2.3213 8.1844
S -2.0103 1.1606 8.1844
S 0.0000 0.0000 5.0949
S -2.0103 -1.1606 11.7276
S 2.0103 1.1606 8.1844
S 0.0000 0.0000 14.8171
S 2.0103 -1.1606 11.7276
S 0.0000 2.3213 11.7276



No. 4
8
Lattice="6.9210 0.0000 0.0000 0.0000 3.9877 0.0000 -2.2937 0.0000 6.6707" Properties=species:S:1:pos:R:3 comment="NaLaTb2S4 (PBE, optimized geometry)" crystal_system=monoclinic sg="P2/m, No. 10" pbc="T T T"
Na 0.0000 0.0000 0.0000
La 3.4605 1.9939 0.0000
Tb -1.1469 1.9939 3.3353
Tb 2.3136 0.0000 3.3353
S -0.0181 0.0000 4.9107
S 1.1496 1.9939 1.7647
S 3.4777 1.9939 4.9060
S 4.6454 0.0000 1.7600



No. 5
8
Lattice="7.0845 0.0000 0.0000 0.0000 4.1164 0.0000 -2.3988 0.0000 6.7236" Properties=species:S:1:pos:R:3 comment="Na2LaTbS4 (PBE, optimized geometry)" crystal_system=monoclinic sg="P2/m, No. 10" pbc="T T T"
Na 0.0000 0.0000 0.0000
Na -1.1994 2.0582 3.3618
La 2.3429 0.0000 3.3618
Tb 3.5423 2.0582 0.0000
S 1.3078 2.0582 1.6488
S 0.0839 0.0000 5.1527
S 4.6018 0.0000 1.5709
S 3.3779 2.0582 5.0748



No. 6
12
Lattice="3.5336 -6.1213 0.0000 3.5336 6.1213 0.0000 -2.3585 0.0000 6.6756" Properties=species:S:1:pos:R:3 comment="Na3LaTb2S6 (PBE, optimized geometry)" crystal_system=monoclinic sg="C2/m, No. 12" pbc="T T T"
Na 0.0000 0.0000 0.0000
Na 3.5336 2.0429 0.0000
Na 3.5336 -2.0429 0.0000
La 2.3543 0.0000 3.3378
Tb 2.3543 4.0797 3.3378
Tb 2.3543 -4.0797 3.3378
S 1.1379 2.1068 1.8096
S -0.0794 0.0000 4.8766
S 1.1379 -2.1068 1.8096
S 3.5707 2.1068 4.8660
S 4.7880 0.0000 1.7990
S 3.5707 -2.1068 4.8660



Number 1: raw total energy -88.7 eV per cell, raw formation energy -2.05 eV/atom. Number 2: raw total energy -84.0 eV per cell, raw formation energy -1.99 eV/atom. Number 3: raw total energy -100.4 eV per cell, raw formation energy -2.03 eV/atom. Number 4: raw total energy -47.7 eV per cell, raw formation energy -1.96 eV/atom. Number 5: raw total energy -43.5 eV per cell, raw formation energy -1.84 eV/atom. Number 6: raw total energy -65.0 eV per cell, raw formation energy -1.84 eV/atom.